Entry 1:
# Cu2ReOs

A PBEsol-optimized structure of Cu2ReOs (meta-GGA SCAN, Alexandria).

Output
As for the energy above the lowest structure with this stoichiometry: 0.29 eV per formula unit. As for the density of states at the Fermi level: 0.746 states/eV/atom. For the total magnetization, the calculation gives 0.0 μB per cell. The value obtained for the density is 15.9 g/cm³. The value obtained for the volume is 52.4 Å³/f.u. The calculation puts the total energy at -43.02 eV per atom.

a b c (Å): 8.780 8.780 8.780
angles (deg): 17.33 17.33 17.33
Sites, in units of the cell vectors:
Cu1 0.250 0.250 0.250
Cu2 0.750 0.750 0.750
Re1 0.500 0.500 0.500
Os1 0.000 0.000 0.000

Entry 2:
# CuReOs3

A PBEsol-optimized structure of CuReOs3 (meta-GGA SCAN, Alexandria).

Output
As for the density of states at the Fermi level: 0.752 states/eV/atom. For the total magnetization, the calculation gives 0.8 μB per cell. The value obtained for the density is 17.2 g/cm³. The value obtained for the volume is 79.3 Å³/f.u. The calculation puts the total energy at -58.12 eV per atom.

a b c (Å): 4.297 4.297 4.297
angles (deg): 90.00 90.00 90.00
Sites, in units of the cell vectors:
Cu1 0.000 0.000 0.000
Re1 0.500 0.500 0.500
Os1 0.000 0.000 0.500
Os2 0.000 0.500 0.000
Os3 0.500 0.000 0.000

Entry 3:
# Cu2OsRh

A PBEsol-optimized structure of Cu2OsRh (meta-GGA SCAN, Alexandria).

Output
As for the density of states at the Fermi level: 0.590 states/eV/atom. For the total magnetization, the calculation gives 0.0 μB per cell. The value obtained for the density is 13.7 g/cm³. The value obtained for the volume is 50.9 Å³/f.u. The calculation puts the total energy at -33.84 eV per atom.

a b c (Å): 4.526 4.526 4.507
angles (deg): 99.13 99.13 34.01
Sites, in units of the cell vectors:
Cu1 0.000 0.000 0.000
Cu2 0.250 0.250 0.793
Os1 0.751 0.751 0.292
Rh1 0.498 0.498 0.498

Entry 4:
# CuOs2Rh

A PBEsol-optimized structure of CuOs2Rh (meta-GGA SCAN, Alexandria).

Output
As for the energy above the lowest structure with this stoichiometry: 0.00 eV per formula unit. As for the density of states at the Fermi level: 1.264 states/eV/atom. For the total magnetization, the calculation gives 0.0 μB per cell. The value obtained for the density is 17.0 g/cm³. The value obtained for the volume is 53.5 Å³/f.u. The calculation puts the total energy at -47.75 eV per atom.

a b c (Å): 3.697 3.697 3.916
angles (deg): 90.00 90.00 90.00
Sites, in units of the cell vectors:
Cu1 0.000 0.000 0.000
Os1 0.000 0.500 0.500
Os2 0.500 0.000 0.500
Rh1 0.500 0.500 0.000

Entry 5:
# CuOs2Rh

A PBEsol-optimized structure of CuOs2Rh (meta-GGA SCAN, Alexandria).

Output
As for the energy above the lowest structure with this stoichiometry: 0.91 eV per formula unit. As for the density of states at the Fermi level: 1.049 states/eV/atom. For the total magnetization, the calculation gives 1.2 μB per cell. The value obtained for the density is 16.9 g/cm³. The value obtained for the volume is 53.8 Å³/f.u. The calculation puts the total energy at -47.53 eV per atom.

a b c (Å): 4.236 4.236 4.236
angles (deg): 60.00 60.00 60.00
Sites, in units of the cell vectors:
Cu1 0.000 0.000 0.000
Os1 0.250 0.250 0.250
Os2 0.750 0.750 0.750
Rh1 0.500 0.500 0.500

Entry 6:
# Cu2OsRu

A PBEsol-optimized structure of Cu2OsRu (meta-GGA SCAN, Alexandria).

Output
As for the energy above the lowest structure with this stoichiometry: 0.00 eV per formula unit. As for the density of states at the Fermi level: 0.659 states/eV/atom. For the total magnetization, the calculation gives 0.0 μB per cell. The value obtained for the density is 13.7 g/cm³. The value obtained for the volume is 50.8 Å³/f.u. The calculation puts the total energy at -34.04 eV per atom.

a b c (Å): 4.517 4.517 4.499
angles (deg): 99.37 99.37 34.19
Sites, in units of the cell vectors:
Cu1 0.000 0.000 0.000
Cu2 0.749 0.749 0.202
Os1 0.500 0.500 0.500
Ru1 0.248 0.248 0.700

Entry 7:
# Cu2OsRu

A PBEsol-optimized structure of Cu2OsRu (meta-GGA SCAN, Alexandria).

Output
As for the energy above the lowest structure with this stoichiometry: 0.84 eV per formula unit. As for the density of states at the Fermi level: 1.149 states/eV/atom. For the total magnetization, the calculation gives 0.0 μB per cell. The value obtained for the density is 13.4 g/cm³. The value obtained for the volume is 51.8 Å³/f.u. The calculation puts the total energy at -33.82 eV per atom.

a b c (Å): 5.081 5.081 5.081
angles (deg): 149.08 129.13 60.72
Sites, in units of the cell vectors:
Cu1 0.250 0.250 0.000
Cu2 0.750 0.750 0.000
Os1 0.500 0.000 0.500
Ru1 0.000 0.500 0.500

Entry 8:
# CuOsRu

A PBEsol-optimized structure of CuOsRu (meta-GGA SCAN, Alexandria).

Output
As for the energy above the lowest structure with this stoichiometry: 0.00 eV per formula unit. As for the density of states at the Fermi level: 0.598 states/eV/atom. For the total magnetization, the calculation gives 0.0 μB per cell. The value obtained for the density is 15.1 g/cm³. The value obtained for the volume is 38.9 Å³/f.u. The calculation puts the total energy at -40.45 eV per atom.

a b c (Å): 4.542 4.542 4.542
angles (deg): 145.33 132.50 60.13
Sites, in units of the cell vectors:
Cu1 0.000 0.000 0.000
Os1 0.330 0.330 0.000
Ru1 0.671 0.671 0.000